VASP calculation (PBE) on crystalline Ta2TiCo2 at its relaxed geometry.

The relative energy among the computed polymorphs comes out at 176 meV/atom. The value obtained for the density of states at the Fermi level is 5.08 states/eV/f.u. The value obtained for the calculated formation energy is 0.017 eV per atom.

a = 7.2815 Å, b = 7.2815 Å, c = 2.8575 Å
α = 90.00°, β = 90.00°, γ = 90.00°
Space group P4/mbm (No. 127)
One atom of each set of equivalent atoms:
1 Ta 0.1581 0.3419 0.0000 (multiplicity 4)
2 Ti 0.0000 0.0000 0.0000 (multiplicity 2)
3 Co 0.1378 0.6378 0.5000 (multiplicity 4)

---

VASP calculation (PBE) on crystalline Y2Ni9Ag at its relaxed geometry.

The value obtained for the density of states at the Fermi level is 11.74 states/eV/f.u. The value obtained for the calculated formation energy is -0.176 eV per atom.

a = 4.9444 Å, b = 4.9444 Å, c = 23.9904 Å
α = 90.00°, β = 90.00°, γ = 120.00°
Space group R-3m (No. 166, hexagonal axes)
One atom of each set of equivalent atoms:
1 Y 0.0000 0.0000 0.1344 (multiplicity 6)
2 Ni 0.0000 0.0000 0.3330 (multiplicity 6)
3 Ni 0.0000 0.0000 0.5000 (multiplicity 3)
4 Ni 0.0009 0.5005 0.9185 (multiplicity 18)
5 Ag 0.0000 0.0000 0.0000 (multiplicity 3)

---

VASP calculation (PBE) on crystalline Mn3W5 at its relaxed geometry.

The relative energy among the computed polymorphs comes out at 43 meV/atom. The value obtained for the density of states at the Fermi level is 10.03 states/eV/f.u. The value obtained for the calculated formation energy is 0.195 eV per atom.

a = 4.8887 Å, b = 13.7308 Å, c = 7.2816 Å
α = 90.00°, β = 109.45°, γ = 90.00°
Space group C2/m (No. 12)
One atom of each set of equivalent atoms:
1 Mn 0.0000 0.1782 0.0000 (multiplicity 4)
2 Mn 0.0000 0.2500 0.5000 (multiplicity 4)
3 Mn 0.1756 0.5000 0.3569 (multiplicity 4)
4 W 0.1027 0.3256 0.2070 (multiplicity 8)
5 W 0.1737 0.1037 0.3492 (multiplicity 8)
6 W 0.2495 0.0000 0.9993 (multiplicity 4)

---

VASP calculation (PBE) on crystalline MoOsRh2 at its relaxed geometry.

The relative energy among the computed polymorphs comes out at 393 meV/atom. The value obtained for the density of states at the Fermi level is 5.46 states/eV/f.u. The value obtained for the calculated formation energy is 0.204 eV per atom.

a = 3.2714 Å, b = 3.2714 Å, c = 5.5582 Å
α = 90.00°, β = 90.00°, γ = 90.00°
Space group P4mm (No. 99)
One atom of each set of equivalent atoms:
1 Mo 0.0000 0.0000 0.0000 (multiplicity 1)
2 Os 0.5000 0.5000 0.2512 (multiplicity 1)
3 Rh 0.0000 0.0000 0.5005 (multiplicity 1)
4 Rh 0.5000 0.5000 0.7485 (multiplicity 1)

---

VASP calculation (PBE) on crystalline TmTiInAu at its relaxed geometry.

The value obtained for the density of states at the Fermi level is 2.99 states/eV/f.u. The value obtained for the calculated formation energy is -0.346 eV per atom.

a = 6.9917 Å, b = 6.9917 Å, c = 6.9917 Å
α = 90.00°, β = 90.00°, γ = 90.00°
Space group F-43m (No. 216)
One atom of each set of equivalent atoms:
1 Tm 0.0000 0.0000 0.0000 (multiplicity 4)
2 Ti 0.0000 0.0000 0.5000 (multiplicity 4)
3 In 0.2500 0.2500 0.7500 (multiplicity 4)
4 Au 0.2500 0.2500 0.2500 (multiplicity 4)

---

VASP calculation (PBE) on crystalline K4HoPu3S8 at its relaxed geometry.

The value obtained for the density of states at the Fermi level is 28.63 states/eV/f.u. The uncorrected formation energy is -1.6595 eV/atom.

a = 8.1947 Å, b = 8.1947 Å, c = 21.9907 Å
α = 90.00°, β = 90.00°, γ = 120.00°
Space group R-3m (No. 166, hexagonal axes)
One atom of each set of equivalent atoms:
1 K 0.0000 0.0000 0.0000 (multiplicity 3)
2 K 0.0000 0.5000 0.0000 (multiplicity 9)
3 Ho 0.0000 0.0000 0.5000 (multiplicity 3)
4 Pu 0.0000 0.5000 0.5000 (multiplicity 9)
5 S 0.0000 0.0000 0.2328 (multiplicity 6)
6 S 0.0033 0.5017 0.2337 (multiplicity 18)

---

VASP calculation (PBE) on crystalline TiGaReIr at its relaxed geometry.

The value obtained for the density of states at the Fermi level is 3.25 states/eV/f.u. The value obtained for the calculated formation energy is -0.422 eV per atom.

a = 6.1733 Å, b = 6.1733 Å, c = 6.1733 Å
α = 90.00°, β = 90.00°, γ = 90.00°
Space group F-43m (No. 216)
One atom of each set of equivalent atoms:
1 Ti 0.0000 0.0000 0.0000 (multiplicity 4)
2 Ga 0.0000 0.0000 0.5000 (multiplicity 4)
3 Re 0.2500 0.2500 0.7500 (multiplicity 4)
4 Ir 0.2500 0.2500 0.2500 (multiplicity 4)

---

VASP calculation (PBE) on crystalline LiLaCuN2 at its relaxed geometry.

The relative energy among the computed polymorphs comes out at 1559 meV/atom. The value obtained for the density of states at the Fermi level is 3.08 states/eV/f.u. The uncorrected formation energy is 1.0883 eV/atom.

a = 3.9803 Å, b = 3.9803 Å, c = 4.2835 Å
α = 90.00°, β = 90.00°, γ = 90.00°
Space group P4/mmm (No. 123)
One atom of each set of equivalent atoms:
1 Li 0.0000 0.0000 0.0000 (multiplicity 1)
2 La 0.0000 0.0000 0.5000 (multiplicity 1)
3 Cu 0.5000 0.5000 0.5000 (multiplicity 1)
4 N 0.0000 0.5000 0.0000 (multiplicity 2)

---

VASP calculation (PBE) on crystalline La2Ag at its relaxed geometry.

The value obtained for the density of states at the Fermi level is 4.03 states/eV/f.u. The value obtained for the calculated formation energy is -0.148 eV per atom.

a = 13.3768 Å, b = 3.7686 Å, c = 7.6062 Å
α = 90.00°, β = 105.55°, γ = 90.00°
Space group C2/m (No. 12)
One atom of each set of equivalent atoms:
1 La 0.1356 0.0000 0.0586 (multiplicity 4)
2 La 0.1603 0.0000 0.5911 (multiplicity 4)
3 Ag 0.0119 0.5000 0.2843 (multiplicity 4)

---

VASP calculation (PBE) on crystalline CeScN at its relaxed geometry.

The relative energy among the computed polymorphs comes out at 641 meV/atom. The value obtained for the density of states at the Fermi level is 5.55 states/eV/f.u. The uncorrected formation energy is -0.4029 eV/atom.

a = 5.8640 Å, b = 5.8640 Å, c = 5.8640 Å
α = 90.00°, β = 90.00°, γ = 90.00°
Space group F-43m (No. 216)
One atom of each set of equivalent atoms:
1 Ce 0.0000 0.0000 0.0000 (multiplicity 4)
2 Sc 0.0000 0.0000 0.5000 (multiplicity 4)
3 N 0.2500 0.2500 0.7500 (multiplicity 4)

---

VASP calculation (PBE) on crystalline YSc4Cl at its relaxed geometry.

The value obtained for the density of states at the Fermi level is 7.24 states/eV/f.u. The uncorrected formation energy is 0.2546 eV/atom.

a = 8.7516 Å, b = 8.7516 Å, c = 8.7516 Å
α = 90.00°, β = 90.00°, γ = 90.00°
Space group F-43m (No. 216)
One atom of each set of equivalent atoms:
1 Y 0.0000 0.0000 0.0000 (multiplicity 4)
2 Sc 0.1278 0.1278 0.3722 (multiplicity 16)
3 Cl 0.2500 0.2500 0.7500 (multiplicity 4)

---

VASP calculation (PBE) on crystalline ZrTlCo at its relaxed geometry.

The relative energy among the computed polymorphs comes out at 55 meV/atom. The value obtained for the density of states at the Fermi level is 3.19 states/eV/f.u. The value obtained for the calculated formation energy is 0.099 eV per atom.

a = 6.2017 Å, b = 6.2017 Å, c = 11.0003 Å
α = 90.00°, β = 90.00°, γ = 120.00°
Space group P6_222 (No. 180)
One atom of each set of equivalent atoms:
1 Zr 0.0000 0.5000 0.3859 (multiplicity 6)
2 Tl 0.0000 0.0000 0.1667 (multiplicity 3)
3 Tl 0.0000 0.5000 0.6667 (multiplicity 3)
4 Co 0.2120 0.6060 0.1667 (multiplicity 6)

---

VASP calculation (PBE) on crystalline SrMg14Ti at its relaxed geometry.

The relative energy among the computed polymorphs comes out at 12 meV/atom. The value obtained for the density of states at the Fermi level is 10.49 states/eV/f.u. The value obtained for the calculated formation energy is 0.100 eV per atom.

a = 10.5023 Å, b = 6.4352 Å, c = 11.4501 Å
α = 90.00°, β = 90.00°, γ = 90.00°
Space group Amm2 (No. 38)
One atom of each set of equivalent atoms:
1 Sr 0.0000 0.0000 0.0000 (multiplicity 2)
2 Mg 0.0000 0.2498 0.2477 (multiplicity 4)
3 Mg 0.2354 0.0000 0.6456 (multiplicity 4)
4 Mg 0.2542 0.2426 0.4016 (multiplicity 8)
5 Mg 0.2636 0.0000 0.1581 (multiplicity 4)
6 Mg 0.5000 0.0000 0.4894 (multiplicity 2)
7 Mg 0.5000 0.0000 0.9864 (multiplicity 2)
8 Mg 0.5000 0.2445 0.7377 (multiplicity 4)
9 Ti 0.0000 0.0000 0.4804 (multiplicity 2)

---

VASP calculation (PBE) on crystalline Y2SiP at its relaxed geometry.

The relative energy among the computed polymorphs comes out at 208 meV/atom. The value obtained for the density of states at the Fermi level is 3.19 states/eV/f.u. The uncorrected formation energy is -1.0172 eV/atom.

a = 4.0686 Å, b = 4.0686 Å, c = 5.7373 Å
α = 90.00°, β = 90.00°, γ = 90.00°
Space group P4/mmm (No. 123)
One atom of each set of equivalent atoms:
1 Y 0.0000 0.0000 0.0000 (multiplicity 1)
2 Y 0.5000 0.5000 0.5000 (multiplicity 1)
3 Si 0.0000 0.0000 0.5000 (multiplicity 1)
4 P 0.5000 0.5000 0.0000 (multiplicity 1)

---

VASP calculation (PBE) on crystalline DyPuAg2O6 at its relaxed geometry.

The uncorrected formation energy is -1.9393 eV/atom.

a = 5.7801 Å, b = 5.7801 Å, c = 14.8151 Å
α = 90.00°, β = 90.00°, γ = 120.00°
Space group R-3 (No. 148, hexagonal axes)
One atom of each set of equivalent atoms:
1 Dy 0.0000 0.0000 0.0000 (multiplicity 3)
2 Pu 0.0000 0.0000 0.5000 (multiplicity 3)
3 Ag 0.0000 0.0000 0.2551 (multiplicity 6)
4 O 0.0229 0.4116 0.2465 (multiplicity 18)

---

VASP calculation (PBE) on crystalline Ac4NiSnI2 at its relaxed geometry.

The value obtained for the density of states at the Fermi level is 5.41 states/eV/f.u. The uncorrected formation energy is -0.7550 eV/atom.

a = 8.3557 Å, b = 4.4662 Å, c = 8.6532 Å
α = 90.00°, β = 106.04°, γ = 90.00°
Space group P2/m (No. 10)
One atom of each set of equivalent atoms:
1 Ac 0.2024 0.0000 0.1853 (multiplicity 2)
2 Ac 0.2432 0.5000 0.7926 (multiplicity 2)
3 Ni 0.0000 0.5000 0.0000 (multiplicity 1)
4 Sn 0.5000 0.0000 0.0000 (multiplicity 1)
5 I 0.0000 0.0000 0.5000 (multiplicity 1)
6 I 0.5000 0.5000 0.5000 (multiplicity 1)

---

VASP calculation (PBE) on crystalline Tl2CuPd2 at its relaxed geometry.

The relative energy among the computed polymorphs comes out at 0 meV/atom. The value obtained for the density of states at the Fermi level is 1.97 states/eV/f.u. The value obtained for the calculated formation energy is -0.006 eV per atom.

a = 6.8212 Å, b = 6.8212 Å, c = 4.1751 Å
α = 90.00°, β = 90.00°, γ = 90.00°
Space group P4/mbm (No. 127)
One atom of each set of equivalent atoms:
1 Tl 0.1663 0.3337 0.0000 (multiplicity 4)
2 Cu 0.0000 0.0000 0.5000 (multiplicity 2)
3 Pd 0.1463 0.6463 0.5000 (multiplicity 4)

---

VASP calculation (PBE) on crystalline LiLa2ZnOs at its relaxed geometry.

The value obtained for the density of states at the Fermi level is 4.77 states/eV/f.u. The value obtained for the calculated formation energy is 0.006 eV per atom.

a = 5.5039 Å, b = 5.5039 Å, c = 5.0347 Å
α = 90.00°, β = 90.00°, γ = 90.00°
Space group P4/mmm (No. 123)
One atom of each set of equivalent atoms:
1 Li 0.0000 0.0000 0.0000 (multiplicity 1)
2 La 0.0000 0.5000 0.5000 (multiplicity 2)
3 Zn 0.5000 0.5000 0.0000 (multiplicity 1)
4 Os 0.5000 0.5000 0.5000 (multiplicity 1)

---

VASP calculation (PBE) on crystalline TlAsP2S8 at its relaxed geometry.

The value obtained for the density of states at the Fermi level is 7.57 states/eV/f.u. The uncorrected formation energy is -0.0362 eV/atom.

a = 5.9179 Å, b = 5.9179 Å, c = 28.8957 Å
α = 90.00°, β = 90.00°, γ = 120.00°
Space group R-3 (No. 148, hexagonal axes)
One atom of each set of equivalent atoms:
1 Tl 0.0000 0.0000 0.0000 (multiplicity 3)
2 As 0.0000 0.0000 0.5000 (multiplicity 3)
3 P 0.0000 0.0000 0.2389 (multiplicity 6)
4 S 0.0000 0.0000 0.3080 (multiplicity 6)
5 S 0.0002 0.3379 0.2199 (multiplicity 18)

---

VASP calculation (PBE) on crystalline YCdSe2 at its relaxed geometry.

The value obtained for the density of states at the Fermi level is 2.06 states/eV/f.u. The uncorrected formation energy is -1.0158 eV/atom.

a = 3.6794 Å, b = 3.6645 Å, c = 7.2147 Å
α = 90.00°, β = 100.31°, γ = 90.00°
Space group P2/m (No. 10)
One atom of each set of equivalent atoms:
1 Y 0.0000 0.0000 0.0000 (multiplicity 1)
2 Cd 0.0000 0.0000 0.5000 (multiplicity 1)
3 Se 0.3994 0.5000 0.7735 (multiplicity 2)

---

no.,total magnetic moment (μB/atom),electronic total energy (eV per formula unit)
1,0.1880,-45.73
2,0.2309,-69.93
3,0.2487,-90.71
4,0.0000,-35.95
5,0.3736,-19.77
6,0.9375,-111.53
7,0.0000,-33.92
8,0.0016,-22.15
9,0.0000,-13.15
10,0.2170,-21.80
11,0.4077,-32.11
12,0.0000,-17.72
13,0.1176,-30.30
14,0.0000,-27.83
15,0.0919,-73.78
16,0.0000,-35.36
17,0.0000,-19.25
18,0.0000,-24.24
19,0.0000,-51.29
20,0.0000,-18.41